Record 1
Density functional theory data (meta-GGA SCAN) for a crystal of Ti3GaS relaxed with PBEsol.

a = 4.415 Å, b = 4.415 Å, c = 4.415 Å
α = 90.00°, β = 90.00°, γ = 90.00°
Sites, in units of the cell vectors:
Ti1 0.000 0.000 0.500
Ti2 0.000 0.500 0.000
Ti3 0.500 0.000 0.000
Ga1 0.500 0.500 0.500
S1 0.000 0.000 0.000

## Properties
Formation energy without anion corrections   -0.491 eV/atom
Calculated density   4.736 g cm⁻³
Calculated volume   86.04 Å³/cell
DFT total energy   -15.304 eV/atom

Record 2
Density functional theory data (meta-GGA SCAN) for a crystal of Re2Os relaxed with PBEsol.

a = 9.977 Å, b = 2.746 Å, c = 6.469 Å
α = 90.00°, β = 104.12°, γ = 90.00°
Sites, in units of the cell vectors:
Re1 0.000 0.000 0.000
Re2 0.056 0.000 0.612
Re3 0.224 0.500 0.945
Re4 0.388 0.000 0.281
Re5 0.500 0.500 0.000
Re6 0.556 0.500 0.612
Re7 0.724 0.000 0.945
Re8 0.888 0.500 0.281
Os1 0.168 0.500 0.335
Os2 0.333 0.000 0.669
Os3 0.668 0.000 0.335
Os4 0.833 0.500 0.669

## Properties
Calculated density   21.741 g cm⁻³
Calculated volume   171.90 Å³/cell
DFT total energy   -71.443 eV/atom
Formation energy   -1.958 kcal/mol of atoms
Excess energy over the best structure of this formula in the dataset   0.019 eV per formula unit

Record 3
Density functional theory data (meta-GGA SCAN) for a crystal of GaTeOsI2 relaxed with PBEsol.

a = 5.338 Å, b = 5.338 Å, c = 5.362 Å
α = 90.00°, β = 90.00°, γ = 90.00°
Sites, in units of the cell vectors:
Ga1 0.000 0.000 0.000
Te1 0.000 0.000 0.500
Os1 0.500 0.500 0.500
I1 0.000 0.500 0.000
I2 0.500 0.000 0.000

## Properties
Formation energy without anion corrections   1.439 eV/atom
Calculated density   6.972 g cm⁻³
Calculated volume   152.75 Å³/cell
DFT total energy   -38.353 eV/atom
Excess energy over the best structure of this formula in the dataset   4.465 eV per formula unit

Record 4
Density functional theory data (meta-GGA SCAN) for a crystal of Zn2PtAu relaxed with PBEsol.

a = 5.574 Å, b = 7.301 Å, c = 2.862 Å
α = 90.00°, β = 90.00°, γ = 90.00°
Sites, in units of the cell vectors:
Zn1 0.250 0.250 0.000
Zn2 0.250 0.750 0.000
Zn3 0.750 0.250 0.000
Zn4 0.750 0.750 0.000
Pt1 0.000 0.000 0.500
Pt2 0.500 0.500 0.500
Au1 0.000 0.500 0.500
Au2 0.500 0.000 0.500

## Properties
Calculated density   14.907 g cm⁻³
Calculated volume   116.49 Å³/cell
DFT total energy   -42.022 eV/atom
Formation energy   -9.849 kcal/mol of atoms

Record 5
Density functional theory data (meta-GGA SCAN) for a crystal of Ca3Si4Ag2O14 relaxed with PBEsol.

a = 9.313 Å, b = 9.313 Å, c = 10.254 Å
α = 118.88°, β = 118.88°, γ = 49.83°
Sites, in units of the cell vectors:
Ca1 0.163 0.837 0.750
Ca2 0.256 0.347 0.531
Ca3 0.347 0.256 0.031
Ca4 0.653 0.744 0.969
Ca5 0.744 0.653 0.469
Ca6 0.837 0.163 0.250
Si1 0.004 0.740 0.363
Si2 0.049 0.585 0.834
Si3 0.260 0.996 0.137
Si4 0.415 0.951 0.666
Si5 0.585 0.049 0.334
Si6 0.740 0.004 0.863
Si7 0.951 0.415 0.166
Si8 0.996 0.260 0.637
Ag1 0.264 0.736 0.250
Ag2 0.500 0.500 0.000
Ag3 0.500 0.500 0.500
Ag4 0.736 0.264 0.750
O1 0.017 0.416 0.808
O2 0.025 0.879 0.327
O3 0.040 0.595 0.678
O4 0.121 0.975 0.173
O5 0.134 0.209 0.096
O6 0.162 0.642 0.503
O7 0.209 0.134 0.596
O8 0.254 0.523 0.967
O9 0.358 0.838 0.997
O10 0.383 0.482 0.279
O11 0.405 0.960 0.822
O12 0.416 0.017 0.308
O13 0.477 0.746 0.533
O14 0.482 0.383 0.779
O15 0.518 0.617 0.221
O16 0.523 0.254 0.467
O17 0.584 0.983 0.692
O18 0.595 0.040 0.178
O19 0.617 0.518 0.721
O20 0.642 0.162 0.003
O21 0.746 0.477 0.033
O22 0.791 0.866 0.404
O23 0.838 0.358 0.497
O24 0.866 0.791 0.904
O25 0.879 0.025 0.827
O26 0.960 0.405 0.322
O27 0.975 0.121 0.673
O28 0.983 0.584 0.192

## Properties
Formation energy without anion corrections   -2.525 eV/atom
Calculated density   3.882 g cm⁻³
Calculated volume   575.21 Å³/cell
DFT total energy   -12.048 eV/atom

Record 6
Density functional theory data (meta-GGA SCAN) for a crystal of Te3Se relaxed with PBEsol.

a = 7.690 Å, b = 7.690 Å, c = 4.245 Å
α = 90.00°, β = 90.00°, γ = 120.00°
Sites, in units of the cell vectors:
Te1 0.172 0.345 0.250
Te2 0.172 0.828 0.250
Te3 0.345 0.172 0.750
Te4 0.655 0.828 0.250
Te5 0.828 0.172 0.750
Te6 0.828 0.655 0.750
Se1 0.333 0.667 0.750
Se2 0.667 0.333 0.250

## Properties
Formation energy without anion corrections   0.214 eV/atom
Calculated density   7.053 g cm⁻³
Calculated volume   217.45 Å³/cell
DFT total energy   -32.744 eV/atom

Record 7
Density functional theory data (meta-GGA SCAN) for a crystal of LaTaRe2 relaxed with PBEsol.

a = 5.929 Å, b = 9.065 Å, c = 2.854 Å
α = 90.00°, β = 111.90°, γ = 90.00°
Sites, in units of the cell vectors:
La1 0.000 0.000 0.000
La2 0.500 0.500 0.000
Ta1 0.000 0.500 0.000
Ta2 0.500 0.000 0.000
Re1 0.250 0.250 0.500
Re2 0.250 0.750 0.500
Re3 0.750 0.250 0.500
Re4 0.750 0.750 0.500

## Properties
Calculated density   16.153 g cm⁻³
Calculated volume   142.33 Å³/cell
DFT total energy   -62.403 eV/atom
Formation energy   13.102 kcal/mol of atoms

Record 8
Density functional theory data (meta-GGA SCAN) for a crystal of Co2RuF2 relaxed with PBEsol.

a = 3.218 Å, b = 3.218 Å, c = 10.577 Å
α = 90.00°, β = 90.00°, γ = 90.00°
Sites, in units of the cell vectors:
Co1 0.000 0.000 0.119
Co2 0.000 0.000 0.881
Co3 0.500 0.500 0.381
Co4 0.500 0.500 0.619
Ru1 0.000 0.000 0.500
Ru2 0.500 0.500 0.000
F1 0.000 0.500 0.250
F2 0.000 0.500 0.750
F3 0.500 0.000 0.250
F4 0.500 0.000 0.750

## Properties
Formation energy without anion corrections   -0.666 eV/atom
Calculated density   7.790 g cm⁻³
Calculated volume   109.54 Å³/cell
DFT total energy   -15.969 eV/atom